# Os3WS

A PBEsol-optimized structure of Os3WS (meta-GGA SCAN, Alexandria via LeMat-Bulk).

Calculated values
Crystal system: cubic
Uncorrected formation energy, meV/atom: 1524

a b c (Å): 4.2762 4.2762 4.2762
angles (deg): 90.00 90.00 90.00
Element x y z (fractional)
Os 0.0000 0.0000 0.5000
Os 0.0000 0.5000 0.0000
Os 0.5000 0.0000 0.0000
W 0.5000 0.5000 0.5000
S 0.0000 0.0000 0.0000